Here is CuAg after structural relaxation from OQMD. Energies are from PBE.

## Properties
VASP energy	-3.158	eV per atom
formation enthalpy at 0 K	2.6	kcal/mol of atoms
calculated volume	15.36	A^3/atom

Unit cell a=2.7694 b=2.8132 c=15.7732 alpha=90.00 beta=90.00 gamma=90.00
Last column: nearest neighbours and their distance in Å.
Space group Pmmn (No. 59, origin choice 2)
Symmetry-distinct sites (fractional):
Cu: 0.2500 0.2500 0.0488 x2  10 Cu 2.50-2.77
Cu: 0.2500 0.2500 0.8533 x2  6 Cu 2.51-2.77, 2 Ag 2.66
Ag: 0.2500 0.7500 0.4298 x2  12 Ag 2.77-2.97
Ag: 0.2500 0.7500 0.7105 x2  2 Cu 2.66, 8 Ag 2.77-2.97